Record 1
The following is a PBE calculation of a relaxed AgSe2O6F crystal, from Alexandria.

## Properties
E_form (uncorrected) in eV/atom: -0.450
DOS at the Fermi energy in states/eV per atom: 0.209
V in Å³/f.u.: 179.99
SG: C2/c, No. 15
Spin magnetization in μB per cell: 0.00

Lattice parameters (Å, degrees): 9.212 9.212 4.576 98.62 98.62 70.56
Atoms (fractional coordinates):
Ag 0.124 0.876 0.750
Ag 0.876 0.124 0.250
Se 0.217 0.435 0.845
Se 0.435 0.217 0.345
Se 0.565 0.783 0.655
Se 0.783 0.565 0.155
O 0.078 0.362 0.737
O 0.204 0.613 0.810
O 0.293 0.405 0.231
O 0.362 0.078 0.237
O 0.387 0.796 0.690
O 0.405 0.293 0.731
O 0.595 0.707 0.269
O 0.613 0.204 0.310
O 0.638 0.922 0.763
O 0.707 0.595 0.769
O 0.796 0.387 0.190
O 0.922 0.638 0.263
F 0.094 0.906 0.250
F 0.906 0.094 0.750

Record 2
The following is a PBE calculation of a relaxed TcTeSe2 crystal, from Alexandria.

## Properties
E_form (uncorrected) in eV/atom: -0.066
DOS at the Fermi energy in states/eV per atom: 0.455
V in Å³/f.u.: 92.77
SG: Amm2, No. 38
Spin magnetization in μB per cell: 0.00

Lattice parameters (Å, degrees): 3.999 5.361 5.361 53.83 90.00 90.00
Atoms (fractional coordinates):
Tc 0.000 0.000 0.000
Te 0.500 0.189 0.189
Se 0.000 0.492 0.492
Se 0.500 0.831 0.831

Question: Look up the spin magnetization of the first one.
Answer: 0.00 μB per cell

Question: The highest V belongs to which entry?
Answer: AgSe2O6F